(1)
Computed, not measured: crystalline SrZn2Te at its relaxed geometry at the PBE-GGA level of DFT.

## Properties
ΔE_f (raw) = -0.5002 eV/atom
Symmetry = C2/m
Total magnetization = 0.00 μB/f.u.

Cell lengths 11.0105, 4.9607, 4.3316 Å; angles 90.00, 90.07, 90.00 degrees
Fractional coordinates of all 8 atoms:
Sr (0.0000, 0.0000, 0.0000)
Sr (0.5000, 0.5000, 0.0000)
Zn (0.2111, 0.5000, 0.0001)
Zn (0.2889, 0.0000, 0.9999)
Zn (0.7111, 0.0000, 0.0001)
Zn (0.7889, 0.5000, 0.9999)
Te (0.0000, 0.5000, 0.5000)
Te (0.5000, 0.0000, 0.5000)

=====

(2)
Computed, not measured: crystalline SrZnTe at its relaxed geometry at the PBE-GGA level of DFT.

## Properties
ΔE_f (raw) = -0.9086 eV/atom
Symmetry = Cmc2_1
Total magnetization = 0.00 μB/f.u.

Cell lengths 4.5160, 18.3200, 4.6337 Å; angles 90.00, 90.00, 90.00 degrees
Fractional coordinates of all 12 atoms:
Sr (0.0000, 0.1341, 0.0000)
Sr (0.0000, 0.8659, 0.5000)
Sr (0.5000, 0.3659, 0.5000)
Sr (0.5000, 0.6341, 0.0000)
Zn (0.0000, 0.4729, 0.9988)
Zn (0.0000, 0.5271, 0.4988)
Zn (0.5000, 0.0271, 0.4988)
Zn (0.5000, 0.9729, 0.9988)
Te (0.0000, 0.3257, 0.0000)
Te (0.0000, 0.6743, 0.5000)
Te (0.5000, 0.1743, 0.5000)
Te (0.5000, 0.8257, 0.0000)

=====

(3)
Computed, not measured: crystalline SrZnTe2 at its relaxed geometry at the PBE-GGA level of DFT.

## Properties
ΔE_f (raw) = -0.8762 eV/atom
Symmetry = R-3m
Total magnetization = 0.00 μB/f.u.

Cell lengths 5.1735, 5.1735, 24.1456 Å; angles 90.00, 90.00, 120.00 degrees
Fractional coordinates of all 12 atoms:
Sr (0.0000, 0.0000, 0.0000)
Sr (0.3333, 0.6667, 0.6667)
Sr (0.6667, 0.3333, 0.3333)
Zn (0.0000, 0.0000, 0.5000)
Zn (0.3333, 0.6667, 0.1667)
Zn (0.6667, 0.3333, 0.8333)
Te (0.0000, 0.0000, 0.3981)
Te (0.0000, 0.0000, 0.6019)
Te (0.3333, 0.6667, 0.0648)
Te (0.3333, 0.6667, 0.2685)
Te (0.6667, 0.3333, 0.7315)
Te (0.6667, 0.3333, 0.9352)

=====

(4)
Computed, not measured: crystalline SrZnTe2 at its relaxed geometry at the PBE-GGA level of DFT.

## Properties
ΔE_f (raw) = -0.8395 eV/atom
Symmetry = R-3m
Total magnetization = 0.00 μB/f.u.

Cell lengths 4.4107, 4.4107, 21.9352 Å; angles 90.00, 90.00, 120.00 degrees
Fractional coordinates of all 12 atoms:
Sr (0.0000, 0.0000, 0.0000)
Sr (0.3333, 0.6667, 0.6667)
Sr (0.6667, 0.3333, 0.3333)
Zn (0.0000, 0.0000, 0.5000)
Zn (0.3333, 0.6667, 0.1667)
Zn (0.6667, 0.3333, 0.8333)
Te (0.0000, 0.0000, 0.2362)
Te (0.0000, 0.0000, 0.7638)
Te (0.3333, 0.6667, 0.4305)
Te (0.3333, 0.6667, 0.9029)
Te (0.6667, 0.3333, 0.0971)
Te (0.6667, 0.3333, 0.5695)

=====

(5)
Computed, not measured: crystalline SrZnTe2 at its relaxed geometry at the PBE-GGA level of DFT.

## Properties
ΔE_f (raw) = -0.5524 eV/atom
Symmetry = I4/mmm
Total magnetization = 0.00 μB/f.u.

Cell lengths 4.9189, 4.9189, 9.6838 Å; angles 90.00, 90.00, 90.00 degrees
Fractional coordinates of all 8 atoms:
Sr (0.0000, 0.0000, 0.0000)
Sr (0.5000, 0.5000, 0.5000)
Zn (0.0000, 0.0000, 0.5000)
Zn (0.5000, 0.5000, 0.0000)
Te (0.0000, 0.5000, 0.2500)
Te (0.0000, 0.5000, 0.7500)
Te (0.5000, 0.0000, 0.2500)
Te (0.5000, 0.0000, 0.7500)

=====

(6)
Computed, not measured: crystalline SrZnTe3 at its relaxed geometry at the PBE-GGA level of DFT.

## Properties
ΔE_f (raw) = -0.4394 eV/atom
Symmetry = Pm-3m
Total magnetization = 0.00 μB/f.u.

Cell lengths 5.4279, 5.4279, 5.4279 Å; angles 90.00, 90.00, 90.00 degrees
Fractional coordinates of all 5 atoms:
Sr (0.0000, 0.0000, 0.0000)
Zn (0.5000, 0.5000, 0.5000)
Te (0.0000, 0.5000, 0.5000)
Te (0.5000, 0.0000, 0.5000)
Te (0.5000, 0.5000, 0.0000)

=====

(7)
Computed, not measured: crystalline SrZn2Te at its relaxed geometry at the PBE-GGA level of DFT.

## Properties
ΔE_f (raw) = -0.4314 eV/atom
Symmetry = P4/mmm
Total magnetization = 0.00 μB/f.u.

Cell lengths 4.5744, 4.5744, 5.2294 Å; angles 90.00, 90.00, 90.00 degrees
Fractional coordinates of all 4 atoms:
Sr (0.0000, 0.0000, 0.0000)
Zn (0.0000, 0.5000, 0.5000)
Zn (0.5000, 0.0000, 0.5000)
Te (0.5000, 0.5000, 0.0000)

=====

(8)
Computed, not measured: crystalline SrZnTe2 at its relaxed geometry at the PBE-GGA level of DFT.

## Properties
ΔE_f (raw) = -0.9658 eV/atom
Symmetry = Pm
Total magnetization = 0.00 μB/f.u.

Cell lengths 4.8652, 4.5004, 6.8145 Å; angles 90.00, 96.91, 90.00 degrees
Fractional coordinates of all 4 atoms:
Sr (0.0000, 0.0000, 0.0000)
Zn (0.7476, 0.5000, 0.3762)
Te (0.5009, 0.5000, 0.0121)
Te (0.9880, 0.0000, 0.5077)

=====

(9)
Computed, not measured: crystalline SrZnTe2 at its relaxed geometry at the PBE-GGA level of DFT.

## Properties
ΔE_f (raw) = -0.9446 eV/atom
Symmetry = Cm
Total magnetization = 0.00 μB/f.u.

Cell lengths 13.4640, 4.3375, 4.8727 Å; angles 90.00, 94.00, 90.00 degrees
Fractional coordinates of all 8 atoms:
Sr (0.0000, 0.0000, 0.0000)
Sr (0.5000, 0.5000, 0.0000)
Zn (0.2757, 0.0000, 0.2317)
Zn (0.7757, 0.5000, 0.2317)
Te (0.2064, 0.5000, 0.9803)
Te (0.4484, 0.0000, 0.4898)
Te (0.7064, 0.0000, 0.9803)
Te (0.9484, 0.5000, 0.4898)

=====

(10)
Computed, not measured: crystalline SrZn2Te at its relaxed geometry at the PBE-GGA level of DFT.

## Properties
ΔE_f (raw) = -0.3129 eV/atom
Symmetry = R-3m
Total magnetization = 0.00 μB/f.u.

Cell lengths 4.5707, 4.5707, 19.0354 Å; angles 90.00, 90.00, 120.00 degrees
Fractional coordinates of all 12 atoms:
Sr (0.0000, 0.0000, 0.0000)
Sr (0.3333, 0.6667, 0.6667)
Sr (0.6667, 0.3333, 0.3333)
Zn (0.0000, 0.0000, 0.2379)
Zn (0.0000, 0.0000, 0.7621)
Zn (0.3333, 0.6667, 0.4287)
Zn (0.3333, 0.6667, 0.9046)
Zn (0.6667, 0.3333, 0.0954)
Zn (0.6667, 0.3333, 0.5713)
Te (0.0000, 0.0000, 0.5000)
Te (0.3333, 0.6667, 0.1667)
Te (0.6667, 0.3333, 0.8333)

=====

(11)
Computed, not measured: crystalline SrZn2Te at its relaxed geometry at the PBE-GGA level of DFT.

## Properties
ΔE_f (raw) = -0.3902 eV/atom
Symmetry = Imm2
Total magnetization = 0.00 μB/f.u.

Cell lengths 4.5803, 4.9250, 9.8277 Å; angles 90.00, 90.00, 90.00 degrees
Fractional coordinates of all 8 atoms:
Sr (0.0000, 0.0000, 0.0000)
Sr (0.5000, 0.5000, 0.5000)
Zn (0.0000, 0.0000, 0.5784)
Zn (0.0000, 0.5000, 0.2245)
Zn (0.5000, 0.0000, 0.7245)
Zn (0.5000, 0.5000, 0.0784)
Te (0.0000, 0.5000, 0.7608)
Te (0.5000, 0.0000, 0.2608)

=====

(12)
Computed, not measured: crystalline SrZn4Te at its relaxed geometry at the PBE-GGA level of DFT.

## Properties
ΔE_f (raw) = -0.1406 eV/atom
Symmetry = F-43m
Total magnetization = 0.00 μB/f.u.

Cell lengths 5.7620, 5.7620, 5.7620 Å; angles 60.00, 60.00, 60.00 degrees
Fractional coordinates of all 6 atoms:
Sr (0.0000, 0.0000, 0.0000)
Zn (0.3757, 0.3757, 0.3757)
Zn (0.3757, 0.3757, 0.8729)
Zn (0.3757, 0.8729, 0.3757)
Zn (0.8729, 0.3757, 0.3757)
Te (0.7500, 0.7500, 0.7500)

=====

(13)
Computed, not measured: crystalline SrZnTe at its relaxed geometry at the PBE-GGA level of DFT.

## Properties
ΔE_f (raw) = -0.7599 eV/atom
Symmetry = P3m1
Total magnetization = 0.00 μB/f.u.

Cell lengths 4.6323, 4.6323, 5.1160 Å; angles 90.00, 90.00, 120.00 degrees
Fractional coordinates of all 3 atoms:
Sr (0.0000, 0.0000, 0.0000)
Zn (0.3333, 0.6667, 0.6601)
Te (0.6667, 0.3333, 0.4015)

=====

(14)
Computed, not measured: crystalline SrZnTe2 at its relaxed geometry at the PBE-GGA level of DFT.

## Properties
ΔE_f (raw) = -0.6287 eV/atom
Symmetry = P4/mmm
Total magnetization = 0.00 μB/f.u.

Cell lengths 4.2591, 4.2591, 6.5648 Å; angles 90.00, 90.00, 90.00 degrees
Fractional coordinates of all 4 atoms:
Sr (0.0000, 0.0000, 0.0000)
Zn (0.0000, 0.0000, 0.5000)
Te (0.5000, 0.5000, 0.2504)
Te (0.5000, 0.5000, 0.7496)

=====

(15)
Computed, not measured: crystalline SrZn2Te at its relaxed geometry at the PBE-GGA level of DFT.

## Properties
ΔE_f (raw) = -0.3453 eV/atom
Symmetry = F-43m
Total magnetization = 0.00 μB/f.u.

Cell lengths 7.7596, 7.7596, 7.7596 Å; angles 90.00, 90.00, 90.00 degrees
Fractional coordinates of all 16 atoms:
Sr (0.0000, 0.0000, 0.0000)
Sr (0.0000, 0.5000, 0.5000)
Sr (0.5000, 0.0000, 0.5000)
Sr (0.5000, 0.5000, 0.0000)
Zn (0.0000, 0.0000, 0.5000)
Zn (0.0000, 0.5000, 0.0000)
Zn (0.2500, 0.2500, 0.7500)
Zn (0.2500, 0.7500, 0.2500)
Zn (0.5000, 0.0000, 0.0000)
Zn (0.5000, 0.5000, 0.5000)
Zn (0.7500, 0.2500, 0.2500)
Zn (0.7500, 0.7500, 0.7500)
Te (0.2500, 0.2500, 0.2500)
Te (0.2500, 0.7500, 0.7500)
Te (0.7500, 0.2500, 0.7500)
Te (0.7500, 0.7500, 0.2500)

=====

(16)
Computed, not measured: crystalline Sr2ZnTe3 at its relaxed geometry at the PBE-GGA level of DFT.

## Properties
ΔE_f (raw) = -1.2478 eV/atom
Symmetry = Pnma
Total magnetization = 0.00 μB/f.u.

Cell lengths 9.5937, 4.5328, 18.4898 Å; angles 90.00, 90.00, 90.00 degrees
Fractional coordinates of all 24 atoms:
Sr (0.0756, 0.2500, 0.2139)
Sr (0.2461, 0.7500, 0.4624)
Sr (0.2539, 0.2500, 0.9624)
Sr (0.4244, 0.7500, 0.7139)
Sr (0.5756, 0.2500, 0.2861)
Sr (0.7461, 0.7500, 0.0376)
Sr (0.7539, 0.2500, 0.5376)
Sr (0.9244, 0.7500, 0.7861)
Zn (0.1365, 0.2500, 0.6368)
Zn (0.3635, 0.7500, 0.1368)
Zn (0.6365, 0.2500, 0.8632)
Zn (0.8635, 0.7500, 0.3632)
Te (0.0061, 0.2500, 0.4005)
Te (0.1180, 0.7500, 0.0702)
Te (0.1893, 0.2500, 0.7787)
Te (0.3107, 0.7500, 0.2787)
Te (0.3820, 0.2500, 0.5702)
Te (0.4939, 0.7500, 0.9005)
Te (0.5061, 0.2500, 0.0995)
Te (0.6180, 0.7500, 0.4298)
Te (0.6893, 0.2500, 0.7213)
Te (0.8107, 0.7500, 0.2213)
Te (0.8820, 0.2500, 0.9298)
Te (0.9939, 0.7500, 0.5995)

=====

(17)
Computed, not measured: crystalline SrZn2Te at its relaxed geometry at the PBE-GGA level of DFT.

## Properties
ΔE_f (raw) = -0.4115 eV/atom
Symmetry = P4mm
Total magnetization = 0.00 μB/f.u.

Cell lengths 4.0223, 4.0223, 6.8709 Å; angles 90.00, 90.00, 90.00 degrees
Fractional coordinates of all 4 atoms:
Sr (0.0000, 0.0000, 0.0000)
Zn (0.0000, 0.0000, 0.5434)
Zn (0.5000, 0.5000, 0.6415)
Te (0.5000, 0.5000, 0.2334)

=====

(18)
Computed, not measured: crystalline SrZnTe2 at its relaxed geometry at the PBE-GGA level of DFT.

## Properties
ΔE_f (raw) = -0.6282 eV/atom
Symmetry = C2/m
Total magnetization = 0.00 μB/f.u.

Cell lengths 6.8146, 8.1445, 4.2045 Å; angles 90.00, 90.51, 90.00 degrees
Fractional coordinates of all 8 atoms:
Sr (0.0000, 0.0000, 0.0000)
Sr (0.5000, 0.5000, 0.0000)
Zn (0.0000, 0.5000, 0.0000)
Zn (0.5000, 0.0000, 0.0000)
Te (0.2500, 0.2500, 0.5000)
Te (0.2500, 0.7500, 0.5000)
Te (0.7500, 0.2500, 0.5000)
Te (0.7500, 0.7500, 0.5000)

=====

(19)
Computed, not measured: crystalline SrZn2Te at its relaxed geometry at the PBE-GGA level of DFT.

## Properties
ΔE_f (raw) = -0.4268 eV/atom
Symmetry = P2/m
Total magnetization = 0.00 μB/f.u.

Cell lengths 4.3504, 5.2743, 5.0261 Å; angles 90.00, 90.05, 90.00 degrees
Fractional coordinates of all 4 atoms:
Sr (0.0000, 0.0000, 0.0000)
Zn (0.4653, 0.5000, 0.7549)
Zn (0.5347, 0.5000, 0.2451)
Te (0.5000, 0.0000, 0.5000)

=====

(20)
Computed, not measured: crystalline Sr3ZnTe at its relaxed geometry at the PBE-GGA level of DFT.

## Properties
ΔE_f (raw) = -0.3683 eV/atom
Symmetry = Pm-3m
Total magnetization = 0.00 μB/f.u.

Cell lengths 5.9516, 5.9516, 5.9516 Å; angles 90.00, 90.00, 90.00 degrees
Fractional coordinates of all 5 atoms:
Sr (0.0000, 0.0000, 0.5000)
Sr (0.0000, 0.5000, 0.0000)
Sr (0.5000, 0.0000, 0.0000)
Zn (0.0000, 0.0000, 0.0000)
Te (0.5000, 0.5000, 0.5000)